PBE CaGaP2S, relaxed; crystal system = tetragonal; calculated density = 2.3 Mg/m³; total magnetization = 1.28 μB per cell; volume = 147 Å³ per cell; raw total energy = -3.307 eV/atom
1.0
5.3141 0.0000 0.0000
0.0000 5.3141 0.0000
0.0000 0.0000 5.2063
Ca Ga P S
1 1 2 1
Direct
0.0000 0.0000 0.0000 Ca
0.5000 0.5000 0.5000 Ga
0.0000 0.5000 0.0000 P
0.5000 0.0000 0.0000 P
0.0000 0.0000 0.5000 S